# 1
! CuTcSb4, optimized geometry, DFT PBE; values from VASP
! Energy relative to the elements, uncorrected = 6.45 eV/f.u.
! Volume = 158.5 Å³ per cell
! SG = F-43m
&SYSTEM
  ibrav = 0, nat = 6, ntyp = 3
/
ATOMIC_SPECIES
Sb 121.76 Sb.upf
Cu 63.55 Cu.upf
Tc 98.00 Tc.upf
CELL_PARAMETERS angstrom
3.333 -3.969 3.168
-2.126 -5.592 1.054
2.503 -4.778 -2.795
ATOMIC_POSITIONS angstrom
Sb 1.389 -5.369 0.534
Sb 0.321 -8.178 1.064
Sb 3.063 -7.363 2.126
Sb 2.646 -7.769 -0.869
Cu 0.000 0.000 0.000
Tc 2.782 -10.754 1.070

# 2
! Cu2TcSb, optimized geometry, DFT PBE; values from VASP
! Energy relative to the elements, uncorrected = 1.43 eV/f.u.
! Volume = 61.9 Å³ per cell
! SG = Cmmm
&SYSTEM
  ibrav = 0, nat = 4, ntyp = 3
/
ATOMIC_SPECIES
Cu 63.55 Cu.upf
Sb 121.76 Sb.upf
Tc 98.00 Tc.upf
CELL_PARAMETERS angstrom
4.771 0.209 -0.459
-2.114 4.282 -0.459
0.255 0.431 2.878
ATOMIC_POSITIONS angstrom
Cu 1.329 2.246 -0.459
Cu 0.000 0.000 0.000
Sb 2.513 0.320 1.210
Tc -0.929 2.357 1.210

# 3
! Cu2TcSb, optimized geometry, DFT PBE; values from VASP
! Energy relative to the elements, uncorrected = 2.27 eV/f.u.
! Volume = 64.9 Å³ per cell
! SG = R-3m
&SYSTEM
  ibrav = 0, nat = 4, ntyp = 3
/
ATOMIC_SPECIES
Tc 98.00 Tc.upf
Sb 121.76 Sb.upf
Cu 63.55 Cu.upf
CELL_PARAMETERS angstrom
-1.283 -1.003 8.675
1.275 -2.425 8.390
1.246 0.497 8.723
ATOMIC_POSITIONS angstrom
Tc 0.929 -2.198 19.341
Sb 0.310 -0.733 6.447
Cu 0.006 -0.015 0.133
Cu 0.613 -1.450 12.761

# 4
! Cu2TcSb, optimized geometry, DFT PBE; values from VASP
! Energy relative to the elements, uncorrected = 1.96 eV/f.u.
! Volume = 131.7 Å³ per cell
! SG = I-42d
&SYSTEM
  ibrav = 0, nat = 8, ntyp = 3
/
ATOMIC_SPECIES
Cu 63.55 Cu.upf
Tc 98.00 Tc.upf
Sb 121.76 Sb.upf
CELL_PARAMETERS angstrom
7.135 0.000 0.000
0.000 7.135 0.000
3.567 3.567 2.588
ATOMIC_POSITIONS angstrom
Cu 5.351 5.398 1.941
Cu 5.304 1.784 0.647
Cu 1.831 5.351 0.647
Cu 8.918 8.871 1.941
Tc 3.567 7.135 1.294
Tc 3.567 3.567 0.000
Sb 7.135 3.567 1.294
Sb 0.000 0.000 0.000